# SrEuCo2O6 | the Alexandria database | PBE with a Hubbard U | relaxed
data_SrEuCo2O6
_symmetry_space_group_name_H-M 'P 4/m m m'
_symmetry_Int_Tables_number 123
_symmetry_space_group_name_Hall '-P 4 2'
_cell_length_a 3.786
_cell_length_b 3.786
_cell_length_c 7.851
_cell_angle_alpha 90.00
_cell_angle_beta 90.00
_cell_angle_gamma 90.00
loop_
_atom_site_label
_atom_site_fract_x
_atom_site_fract_y
_atom_site_fract_z
_atom_site_occupancy
Sr1 0.000 0.000 0.000 1
Eu1 0.000 0.000 0.500 1
Co1 0.500 0.500 0.248 1
O1 0.000 0.500 0.270 1
O2 0.500 0.500 0.000 1
O3 0.500 0.500 0.500 1
# **Magnetic moment**: 8.9 Bohr magnetons per cell
# **Calculated total energy**: -6.88 eV per atom